# 1
First-principles (GGA-PBEsol) data for a geometry-optimized CdHg2Sb2 structure, as listed in Alexandria via LeMat-Bulk.

```
5
Lattice="4.232 0.000 0.000 0.000 4.232 0.000 -2.116 -2.116 7.600" Properties=species:S:1:pos:R:3 pbc="T T T"
Sb 0.000 2.116 3.800
Hg 2.116 2.116 1.395
Hg 0.000 0.000 6.205
Sb 2.116 0.000 3.800
Cd 0.000 0.000 0.000
```

Summary:
**ΔE_f (raw)**: 0.97 eV per formula unit
**Total DFT energy (no corrections)**: -2.10 eV/atom
**Mass density**: 9.2 Mg/m³

# 2
First-principles (GGA-PBEsol) data for a geometry-optimized Na3MnAsCO7 structure, as listed in Alexandria via LeMat-Bulk.

```
26
Lattice="5.172 0.000 0.024 0.000 6.884 0.000 0.007 0.000 9.135" Properties=species:S:1:pos:R:3 pbc="T T T"
O 2.749 5.163 3.308
O 4.029 3.077 1.782
O 1.480 1.721 3.810
Na 1.269 3.442 2.263
O 0.867 5.163 0.768
O 0.198 1.721 5.658
C 3.809 5.163 4.061
O 4.311 1.721 8.391
Mn 1.168 1.721 7.794
Na 3.909 0.000 6.896
O 3.285 5.163 8.557
Mn 4.010 5.163 1.365
Na 1.252 5.163 5.310
Na 3.926 1.721 3.849
O 2.429 1.721 5.851
O 4.980 5.163 3.501
Na 3.909 3.442 6.896
C 1.369 1.721 5.099
As 3.607 1.721 0.815
As 1.572 5.163 8.344
O 3.698 5.163 5.350
O 1.893 1.721 0.602
O 4.029 0.365 1.782
O 1.150 6.518 7.377
Na 1.269 6.884 2.263
O 1.150 3.807 7.377
```

Summary:
**ΔE_f (raw)**: -20.89 eV per formula unit
**Total DFT energy (no corrections)**: -6.64 eV/atom
**Mass density**: 3.3 Mg/m³

# 3
First-principles (GGA-PBEsol) data for a geometry-optimized Be2Mo2W structure, as listed in Alexandria via LeMat-Bulk.

```
10
Lattice="-0.106 -3.150 -0.421 6.179 -0.258 0.379 -0.410 -0.805 6.130" Properties=species:S:1:pos:R:3 pbc="T T T"
Be 0.570 -0.338 2.389
Mo 3.796 -2.412 5.088
Mo 1.868 -1.801 1.000
Be 2.002 -0.809 5.554
Mo 4.898 -2.047 2.078
W 2.885 -0.531 3.254
W 0.000 0.000 0.000
Be 3.768 -0.254 0.955
Be 5.200 -0.725 4.120
Mo 0.766 -2.166 4.010
```

Summary:
**Energy of formation from the pure elements**: -0.19 eV per atom
**Total DFT energy (no corrections)**: -9.26 eV/atom
**Mass density**: 10.7 Mg/m³

# 4
First-principles (GGA-PBEsol) data for a geometry-optimized MnAlCu2 structure, as listed in Alexandria via LeMat-Bulk.

```
4
Lattice="2.568 0.032 0.000 -0.533 4.548 0.000 -1.018 -2.290 4.220" Properties=species:S:1:pos:R:3 pbc="T T T"
Al -0.266 2.274 0.000
Cu -0.509 -1.145 2.110
Mn 1.284 0.016 0.000
Cu 0.509 1.145 2.110
```

Summary:
**Energy of formation from the pure elements**: 0.05 eV per atom
**Total DFT energy (no corrections)**: -5.58 eV/atom
**Mass density**: 7.0 Mg/m³

# 5
First-principles (GGA-PBEsol) data for a geometry-optimized CaTlOs2 structure, as listed in Alexandria via LeMat-Bulk.

```
4
Lattice="3.116 0.000 0.000 0.000 4.635 0.000 0.000 0.000 4.878" Properties=species:S:1:pos:R:3 pbc="T T T"
Tl 1.558 2.318 0.000
Os 0.000 0.000 0.000
Os 1.558 0.000 2.439
Ca 0.000 2.318 2.439
```

Summary:
**Energy of formation from the pure elements**: 0.85 eV per atom
**Total DFT energy (no corrections)**: -6.45 eV/atom
**Mass density**: 14.7 Mg/m³
**Distance to the lowest polymorph of the same formula**: 16 kJ/mol of formula units

# 6
First-principles (GGA-PBEsol) data for a geometry-optimized HfZrAs2 structure, as listed in Alexandria via LeMat-Bulk.

```
4
Lattice="4.677 0.000 0.000 2.338 4.050 0.000 2.338 1.350 3.818" Properties=species:S:1:pos:R:3 pbc="T T T"
As 2.338 1.350 0.955
Hf 4.677 2.700 1.909
As 7.015 4.050 2.864
Zr 0.000 0.000 0.000
```

Summary:
**Energy of formation from the pure elements**: -0.82 eV per atom
**Total DFT energy (no corrections)**: -8.27 eV/atom
**Mass density**: 9.6 Mg/m³

# 7
First-principles (GGA-PBEsol) data for a geometry-optimized Na2LaSb2 structure, as listed in Alexandria via LeMat-Bulk.

```
5
Lattice="-2.896 2.057 4.253 4.913 -3.288 1.325 0.827 5.132 -1.919" Properties=species:S:1:pos:R:3 pbc="T T T"
Sb 2.353 2.719 0.287
Na 2.800 0.221 1.799
Na 0.045 3.680 1.861
La 0.000 0.000 0.000
Sb 0.492 1.182 3.373
```

Summary:
**ΔE_f (raw)**: -1.54 eV per formula unit
**Total DFT energy (no corrections)**: -3.76 eV/atom
**Mass density**: 5.0 Mg/m³
**Distance to the lowest polymorph of the same formula**: 101 kJ/mol of formula units

# 8
First-principles (GGA-PBEsol) data for a geometry-optimized Ba2SrAu structure, as listed in Alexandria via LeMat-Bulk.

```
4
Lattice="4.294 0.000 0.000 0.000 4.853 0.000 0.000 -2.427 8.661" Properties=species:S:1:pos:R:3 pbc="T T T"
Au 2.147 2.427 2.543
Ba 0.000 0.000 1.886
Ba 2.147 0.000 7.811
Sr 0.000 2.427 4.973
```

Summary:
**Energy of formation from the pure elements**: -0.31 eV per atom
**Total DFT energy (no corrections)**: -2.82 eV/atom
**Mass density**: 5.1 Mg/m³
**Distance to the lowest polymorph of the same formula**: 9 kJ/mol of formula units

What did the fifth record say?
First-principles (GGA-PBEsol) data for a geometry-optimized CaTlOs2 structure, as listed in Alexandria via LeMat-Bulk.

```
4
Lattice="3.116 0.000 0.000 0.000 4.635 0.000 0.000 0.000 4.878" Properties=species:S:1:pos:R:3 pbc="T T T"
Tl 1.558 2.318 0.000
Os 0.000 0.000 0.000
Os 1.558 0.000 2.439
Ca 0.000 2.318 2.439
```

Summary:
**Energy of formation from the pure elements**: 0.85 eV per atom
**Total DFT energy (no corrections)**: -6.45 eV/atom
**Mass density**: 14.7 Mg/m³
**Distance to the lowest polymorph of the same formula**: 16 kJ/mol of formula units